VASP calculation (PBE) on a geometry-optimized NaInPb2Au2 structure.

Results
* theoretical density: 10.3 g cm⁻³
* energy of formation from the pure elements: -209 meV per atom

Unit cell a=4.6928 b=8.7174 c=7.4713 alpha=90.00 beta=90.00 gamma=90.00
Space group Pmc2_1 (No. 26)
Symmetry-distinct sites (fractional):
Na: 0.0000 0.0652 0.0000 (multiplicity 2)
In: 0.5000 0.1811 0.6778 (multiplicity 2)
Pb: 0.0000 0.3218 0.3538 (multiplicity 2)
Pb: 0.5000 0.4250 0.0267 (multiplicity 2)
Au: 0.0000 0.3477 0.7541 (multiplicity 2)
Au: 0.5000 0.1222 0.2939 (multiplicity 2)